VASP calculation (PBE) on a geometry-optimized TbYSi structure.

Cell lengths 4.8609, 4.8609, 4.8609 Å; angles 60.00, 60.00, 60.00 degrees
Atoms (fractional coordinates):
Tb (0.0000, 0.0000, 0.0000)
Y (0.5000, 0.5000, 0.5000)
Si (0.2500, 0.2500, 0.2500)

Output
* E: -5.9919 eV per atom
* distance to the lowest polymorph of the same formula: 47.3 meV/atom
* space-group type: No. 216
* Fermi-level density of states: 2.581 states/eV/f.u.
* total moment: 0.000 μB/f.u.
* ΔE_f (raw): -0.49 eV per atom